[1]
Material: Rb2CrCI6
Method: DFT, PBE
State: optimized geometry

Lattice parameters (Å, degrees): 7.8799 7.8799 7.9003 60.09 60.09 90.00
With the nearest neighbours (Å) after each atom.
Sites, in units of the cell vectors:
I (0.2531, 0.2531, 0.4939)  1 C 2.77, 1 Cr 2.83
I (0.7469, 0.7469, 0.5061)  1 C 2.77, 1 Cr 2.83
I (0.2546, 0.2546, 0.0000)  1 C 2.73, 1 Cr 2.84
I (0.7454, 0.7454, 0.0000)  1 C 2.73, 1 Cr 2.84
I (0.7454, 0.2546, 0.0000)  1 C 2.73, 1 Cr 2.84
I (0.2546, 0.7454, 0.0000)  1 C 2.73, 1 Cr 2.84
Cr (0.0000, 0.0000, 0.0000)  6 I 2.83-2.84
C (0.5000, 0.5000, 0.0000)  6 I 2.73-2.77
Rb (0.7500, 0.2500, 0.5000)  12 I 3.94-3.95
Rb (0.2500, 0.7500, 0.5000)  12 I 3.94-3.95

formation energy without anion corrections: -157 meV/atom
space-group type: I4/mmm, No. 139

---

[2]
Material: Cr2RuCI
Method: DFT, PBE
State: optimized geometry

Lattice parameters (Å, degrees): 5.0493 3.8387 5.0493 90.00 90.00 90.00
With the nearest neighbours (Å) after each atom.
Sites, in units of the cell vectors:
I (0.5000, 0.5000, 0.5000)  8 Cr 3.17
Ru (0.0000, 0.0000, 0.0000)  2 C 1.92
C (0.0000, 0.5000, 0.0000)  2 Ru 1.92
Cr (0.0000, 0.0000, 0.5000)  2 Ru 2.52
Cr (0.5000, 0.0000, 0.0000)  2 Ru 2.52

formation energy without anion corrections: 1133 meV/atom
space-group type: P4/mmm, No. 123

---

[3]
Material: SrCrC2I
Method: DFT, PBE
State: optimized geometry

Lattice parameters (Å, degrees): 4.7434 4.8656 4.7434 90.00 90.00 90.00
With the nearest neighbours (Å) after each atom.
Sites, in units of the cell vectors:
I (0.0000, 0.0000, 0.0000)  4 C 2.37, 2 Cr 2.43
Sr (0.5000, 0.5000, 0.5000)  4 Cr 3.35, 8 C 3.40
C (0.0000, 0.0000, 0.5000)  2 I 2.37
C (0.5000, 0.0000, 0.0000)  2 I 2.37
Cr (0.0000, 0.5000, 0.0000)  2 I 2.43

formation energy without anion corrections: 2257 meV/atom
space-group type: P4/mmm, No. 123

---

[4]
Material: Cr2TcCI
Method: DFT, PBE
State: optimized geometry

Lattice parameters (Å, degrees): 4.9557 4.2514 4.9557 90.00 90.00 90.00
With the nearest neighbours (Å) after each atom.
Sites, in units of the cell vectors:
I (0.0000, 0.0000, 0.0000)  2 C 2.13
Cr (0.0000, 0.0000, 0.5000)  2 I 2.48
Cr (0.5000, 0.0000, 0.0000)  2 I 2.48
C (0.0000, 0.5000, 0.0000)  2 I 2.13
Tc (0.5000, 0.5000, 0.5000)  8 Cr 3.26, 4 C 3.50

formation energy without anion corrections: 2740 meV/atom
space-group type: P4/mmm, No. 123

---

[5]
Material: CrTe2CI
Method: DFT, PBE
State: optimized geometry

Lattice parameters (Å, degrees): 4.7962 4.7962 5.0421 90.00 90.00 90.00
With the nearest neighbours (Å) after each atom.
Sites, in units of the cell vectors:
I (0.0000, 0.0000, 0.5000)  2 C 2.52
Cr (0.5000, 0.5000, 0.5000)  4 I 3.39, 8 Te 3.48
C (0.0000, 0.0000, 0.0000)  4 Te 2.40, 2 I 2.52
Te (0.0000, 0.5000, 0.0000)  2 C 2.40
Te (0.5000, 0.0000, 0.0000)  2 C 2.40

E above lowest polymorph: 0 meV per atom
formation energy without anion corrections: 1230 meV/atom
space-group type: P4/mmm, No. 123

---

[6]
Material: CrTe2CI
Method: DFT, PBE
State: optimized geometry

Lattice parameters (Å, degrees): 5.1872 5.1872 5.5112 90.00 90.00 90.00
With the nearest neighbours (Å) after each atom.
Sites, in units of the cell vectors:
I (0.0000, 0.0000, 0.5000)  2 Cr 2.76
Cr (0.0000, 0.0000, 0.0000)  4 Te 2.59, 2 I 2.76
C (0.5000, 0.5000, 0.5000)  4 I 3.67, 8 Te 3.78
Te (0.0000, 0.5000, 0.0000)  2 Cr 2.59
Te (0.5000, 0.0000, 0.0000)  2 Cr 2.59

E above lowest polymorph: 349 meV per atom
formation energy without anion corrections: 1580 meV/atom
space-group type: P4/mmm, No. 123

---

[7]
Material: CrWCI2
Method: DFT, PBE
State: optimized geometry

Lattice parameters (Å, degrees): 5.3664 5.0137 5.3664 90.00 90.00 90.00
With the nearest neighbours (Å) after each atom.
Sites, in units of the cell vectors:
I (0.0000, 0.0000, 0.5000)  2 W 2.68
I (0.5000, 0.0000, 0.0000)  2 W 2.68
Cr (0.0000, 0.5000, 0.0000)  2 W 2.51
C (0.5000, 0.5000, 0.5000)  8 I 3.67, 4 Cr 3.79
W (0.0000, 0.0000, 0.0000)  2 Cr 2.51, 4 I 2.68

formation energy without anion corrections: 2315 meV/atom
space-group type: P4/mmm, No. 123

---

[8]
Material: Cr2InC
Method: DFT, PBE
State: optimized geometry

Lattice parameters (Å, degrees): 6.3445 6.3445 5.3742 53.82 53.82 90.00
With the nearest neighbours (Å) after each atom.
Sites, in units of the cell vectors:
Cr (0.5147, 0.1250, 0.2500)  2 C 1.96
Cr (0.2353, 0.6250, 0.2500)  2 C 1.96
Cr (0.3750, 0.4853, 0.7500)  2 C 1.96
Cr (0.8750, 0.7647, 0.7500)  2 C 1.96
C (0.5000, 0.5000, 0.0000)  4 Cr 1.96
C (0.2500, 0.7500, 0.5000)  4 Cr 1.96
In (0.0000, 0.0000, 0.0000)  8 Cr 2.87-2.88, 2 C 2.96
In (0.7500, 0.2500, 0.5000)  8 Cr 2.87-2.88, 2 C 2.96

energy of formation: 0.57 eV/atom
space-group type: I-42d, No. 122

---

[9]
Material: CrInC3
Method: DFT, PBE
State: optimized geometry

Lattice parameters (Å, degrees): 3.9140 3.9140 3.9140 90.00 90.00 90.00
With the nearest neighbours (Å) after each atom.
Sites, in units of the cell vectors:
Cr (0.0000, 0.0000, 0.0000)  6 C 1.96
C (0.0000, 0.5000, 0.0000)  2 Cr 1.96
C (0.0000, 0.0000, 0.5000)  2 Cr 1.96
C (0.5000, 0.0000, 0.0000)  2 Cr 1.96
In (0.5000, 0.5000, 0.5000)  12 C 2.77

E above lowest polymorph: 0 meV per atom
energy of formation: 1.67 eV/atom
space-group type: Pm-3m, No. 221

---

[10]
Material: Cr2InC2
Method: DFT, PBE
State: optimized geometry

Lattice parameters (Å, degrees): 3.7461 3.7461 5.2981 69.30 69.30 90.00
With the nearest neighbours (Å) after each atom.
Sites, in units of the cell vectors:
Cr (0.7500, 0.2500, 0.5000)  4 C 1.95
Cr (0.2500, 0.7500, 0.5000)  4 C 1.95
C (0.3082, 0.3082, 0.3835)  4 Cr 1.95
C (0.6918, 0.6918, 0.6165)  4 Cr 1.95
In (0.0000, 0.0000, 0.0000)  2 C 2.83, 8 Cr 2.96

E above lowest polymorph: 0 meV per atom
energy of formation: 0.42 eV/atom
space-group type: I4/mmm, No. 139

---

[11]
Material: CrInC3
Method: DFT, PBE
State: optimized geometry

Lattice parameters (Å, degrees): 4.2177 4.2177 4.2177 90.00 90.00 90.00
With the nearest neighbours (Å) after each atom.
Sites, in units of the cell vectors:
Cr (0.5000, 0.5000, 0.5000)  12 C 2.98
C (0.0000, 0.5000, 0.0000)  2 In 2.11
C (0.0000, 0.0000, 0.5000)  2 In 2.11
C (0.5000, 0.0000, 0.0000)  2 In 2.11
In (0.0000, 0.0000, 0.0000)  6 C 2.11

E above lowest polymorph: 1863 meV per atom
energy of formation: 3.53 eV/atom
space-group type: Pm-3m, No. 221

---

[12]
Material: Cr2InC
Method: DFT, PBE
State: optimized geometry

Lattice parameters (Å, degrees): 4.1529 4.1529 4.1529 60.00 60.00 60.00
With the nearest neighbours (Å) after each atom.
Sites, in units of the cell vectors:
Cr (0.2500, 0.2500, 0.2500)  4 In 2.54, 4 C 2.54
Cr (0.7500, 0.7500, 0.7500)  4 In 2.54, 4 C 2.54
C (0.0000, 0.0000, 0.0000)  8 Cr 2.54
In (0.5000, 0.5000, 0.5000)  8 Cr 2.54

energy of formation: 1.59 eV/atom
space-group type: Fm-3m, No. 225

---

[13]
Material: Cr2InC2
Method: DFT, PBE
State: optimized geometry

Lattice parameters (Å, degrees): 6.1586 6.1586 2.7941 90.00 90.00 90.00
With the nearest neighbours (Å) after each atom.
Sites, in units of the cell vectors:
Cr (0.1351, 0.6351, 0.5000)  4 C 2.16, 1 Cr 2.35
Cr (0.6351, 0.8649, 0.5000)  4 C 2.16, 1 Cr 2.35
Cr (0.8649, 0.3649, 0.5000)  4 C 2.16, 1 Cr 2.35
Cr (0.3649, 0.1351, 0.5000)  4 C 2.16, 1 Cr 2.35
C (0.3682, 0.8682, 0.0000)  4 Cr 2.16, 1 C 2.30, 2 In 2.41
C (0.8682, 0.6318, 0.0000)  4 Cr 2.16, 1 C 2.30, 2 In 2.41
C (0.6318, 0.1318, 0.0000)  4 Cr 2.16, 1 C 2.30, 2 In 2.41
C (0.1318, 0.3682, 0.0000)  4 Cr 2.16, 1 C 2.30, 2 In 2.41
In (0.0000, 0.0000, 0.0000)  4 C 2.41
In (0.5000, 0.5000, 0.0000)  4 C 2.41

E above lowest polymorph: 460 meV per atom
energy of formation: 0.88 eV/atom
space-group type: P4/mbm, No. 127

---

[14]
Material: KCrInC2
Method: DFT, PBE
State: optimized geometry

Lattice parameters (Å, degrees): 4.0627 5.2500 4.0627 90.00 90.00 90.00
With the nearest neighbours (Å) after each atom.
Sites, in units of the cell vectors:
Cr (0.0000, 0.0000, 0.0000)  4 C 2.03
K (0.0000, 0.5000, 0.0000)  2 Cr 2.62, 4 In 2.87
C (0.0000, 0.0000, 0.5000)  2 Cr 2.03
C (0.5000, 0.0000, 0.0000)  2 Cr 2.03
In (0.5000, 0.5000, 0.5000)  4 K 2.87

energy of formation: 1.74 eV/atom
space-group type: P4/mmm, No. 123

---

[15]
Material: LaCr2InC
Method: DFT, PBE
State: optimized geometry

Lattice parameters (Å, degrees): 4.4271 6.0199 4.4271 90.00 90.00 90.00
With the nearest neighbours (Å) after each atom.
Sites, in units of the cell vectors:
Cr (0.0000, 0.0000, 0.5000)  2 La 2.21
Cr (0.5000, 0.0000, 0.0000)  2 La 2.21
C (0.5000, 0.5000, 0.5000)  4 In 3.13
In (0.0000, 0.5000, 0.0000)  2 La 3.01, 4 C 3.13
La (0.0000, 0.0000, 0.0000)  4 Cr 2.21

energy of formation: 3.03 eV/atom
space-group type: P4/mmm, No. 123

---

[16]
Material: La2CrInC
Method: DFT, PBE
State: optimized geometry

Lattice parameters (Å, degrees): 5.4573 5.4573 3.9665 90.00 90.00 90.00
With the nearest neighbours (Å) after each atom.
Sites, in units of the cell vectors:
Cr (0.0000, 0.0000, 0.5000)  2 C 1.98
C (0.0000, 0.0000, 0.0000)  2 Cr 1.98
In (0.5000, 0.5000, 0.5000)  8 La 3.37
La (0.0000, 0.5000, 0.0000)  2 C 2.73
La (0.5000, 0.0000, 0.0000)  2 C 2.73

energy of formation: -0.17 eV/atom
space-group type: P4/mmm, No. 123

---

[17]
Material: LiCrIn2C
Method: DFT, PBE
State: optimized geometry

Lattice parameters (Å, degrees): 4.7347 4.4773 4.7347 90.00 90.00 90.00
With the nearest neighbours (Å) after each atom.
Sites, in units of the cell vectors:
Cr (0.0000, 0.5000, 0.0000)  2 Li 2.24
C (0.5000, 0.5000, 0.5000)  8 In 3.26, 4 Cr 3.35
Li (0.0000, 0.0000, 0.0000)  2 Cr 2.24, 4 In 2.37
In (0.0000, 0.0000, 0.5000)  2 Li 2.37
In (0.5000, 0.0000, 0.0000)  2 Li 2.37

energy of formation: 1.68 eV/atom
space-group type: P4/mmm, No. 123

---

[18]
Material: Mn2CrInC
Method: DFT, PBE
State: optimized geometry

Lattice parameters (Å, degrees): 4.0100 4.0100 3.9909 90.00 90.00 90.00
With the nearest neighbours (Å) after each atom.
Sites, in units of the cell vectors:
Cr (0.0000, 0.0000, 0.5000)  2 C 2.00
C (0.0000, 0.0000, 0.0000)  2 Cr 2.00, 4 Mn 2.00
Mn (0.0000, 0.5000, 0.0000)  2 C 2.00
Mn (0.5000, 0.0000, 0.0000)  2 C 2.00
In (0.5000, 0.5000, 0.5000)  8 Mn 2.83, 4 Cr 2.84

energy of formation: 0.06 eV/atom
space-group type: P4/mmm, No. 123

---

[19]
Material: NaCrIn2C
Method: DFT, PBE
State: optimized geometry

Lattice parameters (Å, degrees): 4.5931 4.5913 4.5931 90.00 90.00 90.00
With the nearest neighbours (Å) after each atom.
Sites, in units of the cell vectors:
Cr (0.5000, 0.5000, 0.5000)  8 In 3.25, 4 Na 3.25
C (0.0000, 0.0000, 0.0000)  2 Na 2.30, 4 In 2.30
Na (0.0000, 0.5000, 0.0000)  2 C 2.30
In (0.0000, 0.0000, 0.5000)  2 C 2.30
In (0.5000, 0.0000, 0.0000)  2 C 2.30

energy of formation: 1.40 eV/atom
space-group type: P4/mmm, No. 123

---

[20]
Material: CrInRhC2
Method: DFT, PBE
State: optimized geometry

Lattice parameters (Å, degrees): 3.8053 5.0026 3.8053 90.00 90.00 90.00
With the nearest neighbours (Å) after each atom.
Sites, in units of the cell vectors:
Cr (0.0000, 0.0000, 0.0000)  4 C 1.90
C (0.0000, 0.0000, 0.5000)  2 Cr 1.90
C (0.5000, 0.0000, 0.0000)  2 Cr 1.90
Rh (0.0000, 0.5000, 0.0000)  2 Cr 2.50, 4 In 2.69
In (0.5000, 0.5000, 0.5000)  4 Rh 2.69

energy of formation: 1.25 eV/atom
space-group type: P4/mmm, No. 123

---

[21]
Material: ScCr2InC
Method: DFT, PBE
State: optimized geometry

Lattice parameters (Å, degrees): 3.9879 4.4588 3.9879 90.00 90.00 90.00
With the nearest neighbours (Å) after each atom.
Sites, in units of the cell vectors:
Sc (0.0000, 0.5000, 0.0000)  2 C 2.23
Cr (0.0000, 0.0000, 0.5000)  2 C 1.99
Cr (0.5000, 0.0000, 0.0000)  2 C 1.99
C (0.0000, 0.0000, 0.0000)  4 Cr 1.99, 2 Sc 2.23
In (0.5000, 0.5000, 0.5000)  4 Sc 2.82, 8 Cr 2.99

energy of formation: -0.03 eV/atom
space-group type: P4/mmm, No. 123

---

[22]
Material: ScCrIn2C
Method: DFT, PBE
State: optimized geometry

Lattice parameters (Å, degrees): 5.5552 4.5599 5.5552 90.00 90.00 90.00
With the nearest neighbours (Å) after each atom.
Sites, in units of the cell vectors:
Sc (0.0000, 0.0000, 0.0000)  2 Cr 2.28
Cr (0.0000, 0.5000, 0.0000)  2 Sc 2.28
C (0.5000, 0.5000, 0.5000)  8 In 3.59, 4 Cr 3.93
In (0.0000, 0.0000, 0.5000)  2 Sc 2.78
In (0.5000, 0.0000, 0.0000)  2 Sc 2.78

energy of formation: 2.20 eV/atom
space-group type: P4/mmm, No. 123

---

[23]
Material: Ti2CrInC
Method: DFT, PBE
State: optimized geometry

Lattice parameters (Å, degrees): 4.3054 4.3054 3.8552 90.00 90.00 90.00
With the nearest neighbours (Å) after each atom.
Sites, in units of the cell vectors:
Cr (0.0000, 0.0000, 0.5000)  2 C 1.93
C (0.0000, 0.0000, 0.0000)  2 Cr 1.93, 4 Ti 2.15
Ti (0.0000, 0.5000, 0.0000)  2 C 2.15
Ti (0.5000, 0.0000, 0.0000)  2 C 2.15
In (0.5000, 0.5000, 0.5000)  8 Ti 2.89, 4 Cr 3.04

energy of formation: -0.32 eV/atom
space-group type: P4/mmm, No. 123

---

[24]
Material: Zn2CrInC
Method: DFT, PBE
State: optimized geometry

Lattice parameters (Å, degrees): 3.9577 5.6139 3.9577 90.00 90.00 90.00
With the nearest neighbours (Å) after each atom.
Sites, in units of the cell vectors:
Cr (0.5000, 0.5000, 0.5000)  4 In 2.80
Zn (0.0000, 0.0000, 0.5000)  2 C 1.98
Zn (0.5000, 0.0000, 0.0000)  2 C 1.98
C (0.0000, 0.0000, 0.0000)  4 Zn 1.98
In (0.0000, 0.5000, 0.0000)  4 Cr 2.80, 2 C 2.81

energy of formation: 0.85 eV/atom
space-group type: P4/mmm, No. 123

---

[25]
Material: Cr2IrC
Method: DFT, PBE
State: optimized geometry

Lattice parameters (Å, degrees): 2.7916 2.7916 6.6590 77.85 77.85 60.03
With the nearest neighbours (Å) after each atom.
Sites, in units of the cell vectors:
Cr (0.0580, 0.0580, 0.8286)  3 C 1.96-1.97
Cr (0.2761, 0.2761, 0.1701)  3 C 1.94
Ir (0.5000, 0.5000, 0.4986)  6 Cr 2.66-2.68, 6 Ir 2.79
C (0.6659, 0.6659, 0.0027)  6 Cr 1.94-1.97

energy of formation: -0.15 eV/atom
space-group type: Cm, No. 8

---

[26]
Material: Cr3IrC
Method: DFT, PBE
State: optimized geometry

Lattice parameters (Å, degrees): 4.7134 4.7134 4.7134 90.00 90.00 90.00
With the nearest neighbours (Å) after each atom.
Sites, in units of the cell vectors:
Cr (0.0000, 0.5000, 0.0000)  2 Ir 2.36
Cr (0.0000, 0.0000, 0.5000)  2 Ir 2.36
Cr (0.5000, 0.0000, 0.0000)  2 Ir 2.36
C (0.5000, 0.5000, 0.5000)  12 Cr 3.33
Ir (0.0000, 0.0000, 0.0000)  6 Cr 2.36

E above lowest polymorph: 2345 meV per atom
energy of formation: 2.29 eV/atom
space-group type: Pm-3m, No. 221

---

[27]
Material: Cr2IrC
Method: DFT, PBE
State: optimized geometry

Lattice parameters (Å, degrees): 2.8049 2.8049 7.1309 78.66 78.66 60.00
With the nearest neighbours (Å) after each atom.
Sites, in units of the cell vectors:
Cr (0.1157, 0.1157, 0.6529)  3 C 1.94
Cr (0.8843, 0.8843, 0.3471)  3 C 1.94
C (0.5000, 0.5000, 0.5000)  6 Cr 1.94
Ir (0.0000, 0.0000, 0.0000)  2 Cr 2.41

energy of formation: 0.25 eV/atom
space-group type: R-3m, No. 166

---

[28]
Material: Cr2IrC
Method: DFT, PBE
State: optimized geometry

Lattice parameters (Å, degrees): 6.4326 6.4326 5.0593 50.53 50.53 90.00
With the nearest neighbours (Å) after each atom.
Sites, in units of the cell vectors:
Cr (0.5243, 0.1250, 0.2500)  2 C 1.95
Cr (0.2257, 0.6250, 0.2500)  2 C 1.95
Cr (0.3750, 0.4757, 0.7500)  2 C 1.95
Cr (0.8750, 0.7743, 0.7500)  2 C 1.95
C (0.5000, 0.5000, 0.0000)  4 Cr 1.95
C (0.2500, 0.7500, 0.5000)  4 Cr 1.95
Ir (0.0000, 0.0000, 0.0000)  2 C 2.22
Ir (0.7500, 0.2500, 0.5000)  2 C 2.22

energy of formation: 0.29 eV/atom
space-group type: I-42d, No. 122